TbMgZnPt: optimized geometry, PBE.

Output
Mass density = 9.43 g cm⁻³
Symmetry = F-43m
Final energy = -4.0718 eV/atom
Formation enthalpy at 0 K = -0.69 eV/atom

Cell: 4.799 4.799 4.799 Å, 60.00 60.00 60.00°
Fractional positions:
Tb 0.000 0.000 0.000
Mg 0.500 0.500 0.500
Zn 0.250 0.250 0.250
Pt 0.750 0.750 0.750